Record 1
4
Lattice="4.310 0.000 0.000 2.155 3.733 0.000 2.155 1.244 3.519" Properties=species:S:1:pos:R:3 comment="ZnNiAgRh (PBE, optimized geometry)" dos_ef_per_ev_atom=1.536 spacegroup="F-43m, No. 216" m_tot_mub_per_fu=0.8 vol_a3_per_cell=56.6 ef_ev_per_atom=0.007 pbc="T T T"
Ag 2.155 1.244 0.880
Rh 6.466 3.733 2.640
Ni 4.310 2.489 1.760
Zn 0.000 0.000 0.000


Record 2
5
Lattice="-1.970 1.261 -4.122 -3.872 -2.509 1.083 -1.894 3.818 2.073" Properties=species:S:1:pos:R:3 comment="NiAgRu3 (PBE, optimized geometry)" dos_ef_per_ev_atom=1.969 relative_energy_ev_per_fu=5.78 spacegroup="Pm-3m, No. 221" m_tot_mub_per_fu=6.5 vol_a3_per_cell=106.5 ef_ev_per_atom=2.633 pbc="T T T"
Ru -1.936 -1.255 0.542
Ru -0.985 0.630 -2.061
Ru -0.947 1.909 1.037
Ni -3.868 1.285 -0.483
Ag 0.000 0.000 0.000


Record 3
4
Lattice="-0.460 0.168 2.635 -2.012 -0.841 -1.559 2.810 -8.648 1.042" Properties=species:S:1:pos:R:3 comment="NiAgRu2 (PBE, optimized geometry)" dos_ef_per_ev_atom=1.122 relative_energy_ev_per_fu=0.76 spacegroup="Cmm2, No. 35" m_tot_mub_per_fu=1.5 vol_a3_per_cell=58.3 ef_ev_per_atom=0.442 pbc="T T T"
Ag 1.436 -4.419 0.533
Ru -0.579 -2.357 0.782
Ru 2.791 -8.589 1.035
Ni 0.906 -6.928 1.332


Record 4
4
Lattice="-2.432 2.951 -1.549 -2.219 -2.588 -1.448 -2.007 -0.020 3.113" Properties=species:S:1:pos:R:3 comment="NiAgRu2 (PBE, optimized geometry)" dos_ef_per_ev_atom=1.157 relative_energy_ev_per_fu=1.03 spacegroup="P4/mmm, No. 123" m_tot_mub_per_fu=0.0 vol_a3_per_cell=56.6 ef_ev_per_atom=0.509 pbc="T T T"
Ni -2.220 1.465 0.782
Ag -2.326 0.181 -1.498
Ru 0.000 0.000 0.000
Ru -2.113 -1.304 0.833